# 1
DFT (PBE-GGA) results for crystalline Zr4AlSi2 at its relaxed geometry.

ΔE_f (raw) = -0.414 eV per atom
energy relative to the lowest polymorph listed for this composition = 122 meV/atom
crystal system = monoclinic

Unit cell a=3.077 b=3.077 c=28.778 alpha=91.43 beta=91.43 gamma=81.86
Atoms (fractional coordinates):
1 Zr 0.229 0.229 0.176
2 Zr 0.236 0.236 0.309
3 Zr 0.242 0.242 0.044
4 Zr 0.268 0.268 0.458
5 Zr 0.732 0.732 0.542
6 Zr 0.758 0.758 0.956
7 Zr 0.764 0.764 0.691
8 Zr 0.771 0.771 0.824
9 Al 0.248 0.248 0.616
10 Al 0.752 0.752 0.384
11 Si 0.257 0.257 0.891
12 Si 0.270 0.270 0.757
13 Si 0.730 0.730 0.243
14 Si 0.743 0.743 0.109

# 2
DFT (PBE-GGA) results for crystalline Zr2Al3Si at its relaxed geometry.

ΔE_f (raw) = -0.393 eV per atom
energy relative to the lowest polymorph listed for this composition = 111 meV/atom
crystal system = hexagonal

Unit cell a=8.386 b=8.386 c=3.541 alpha=90.00 beta=90.00 gamma=120.00
Atoms (fractional coordinates):
1 Zr 0.000 0.000 0.000
2 Zr 0.000 0.500 0.000
3 Zr 0.500 0.000 0.000
4 Zr 0.500 0.500 0.000
5 Al 0.168 0.337 0.500
6 Al 0.168 0.832 0.500
7 Al 0.337 0.168 0.500
8 Al 0.663 0.832 0.500
9 Al 0.832 0.168 0.500
10 Al 0.832 0.663 0.500
11 Si 0.333 0.667 0.500
12 Si 0.667 0.333 0.500

# 3
DFT (PBE-GGA) results for crystalline Zr2AlSi4 at its relaxed geometry.

ΔE_f (raw) = 0.155 eV per atom
energy relative to the lowest polymorph listed for this composition = 556 meV/atom
crystal system = trigonal

Unit cell a=3.449 b=3.449 c=13.711 alpha=90.00 beta=90.00 gamma=120.00
Atoms (fractional coordinates):
1 Zr 0.000 0.000 0.000
2 Zr 0.333 0.667 0.657
3 Al 0.667 0.333 0.320
4 Si 0.333 0.667 0.436
5 Si 0.333 0.667 0.850
6 Si 0.667 0.333 0.142
7 Si 0.667 0.333 0.526

# 4
DFT (PBE-GGA) results for crystalline Zr2AlSi5 at its relaxed geometry.

ΔE_f (raw) = -0.196 eV per atom
energy relative to the lowest polymorph listed for this composition = 0 meV/atom
crystal system = orthorhombic

Unit cell a=5.370 b=10.883 c=4.535 alpha=90.00 beta=90.00 gamma=90.00
Atoms (fractional coordinates):
1 Zr 0.173 0.153 0.000
2 Zr 0.327 0.653 0.000
3 Zr 0.673 0.347 0.000
4 Zr 0.827 0.847 0.000
5 Al 0.000 0.500 0.500
6 Al 0.500 0.000 0.500
7 Si 0.000 0.000 0.500
8 Si 0.070 0.759 0.500
9 Si 0.173 0.411 0.000
10 Si 0.327 0.911 0.000
11 Si 0.430 0.259 0.500
12 Si 0.500 0.500 0.500
13 Si 0.570 0.741 0.500
14 Si 0.673 0.089 0.000
15 Si 0.827 0.589 0.000
16 Si 0.930 0.241 0.500

Q: Among the records above, which one has the lowest energy relative to the lowest polymorph listed for this composition?
A: Zr2AlSi5

Repeat the fourth record exactly.
DFT (PBE-GGA) results for crystalline Zr2AlSi5 at its relaxed geometry.

ΔE_f (raw) = -0.196 eV per atom
energy relative to the lowest polymorph listed for this composition = 0 meV/atom
crystal system = orthorhombic

Unit cell a=5.370 b=10.883 c=4.535 alpha=90.00 beta=90.00 gamma=90.00
Atoms (fractional coordinates):
1 Zr 0.173 0.153 0.000
2 Zr 0.327 0.653 0.000
3 Zr 0.673 0.347 0.000
4 Zr 0.827 0.847 0.000
5 Al 0.000 0.500 0.500
6 Al 0.500 0.000 0.500
7 Si 0.000 0.000 0.500
8 Si 0.070 0.759 0.500
9 Si 0.173 0.411 0.000
10 Si 0.327 0.911 0.000
11 Si 0.430 0.259 0.500
12 Si 0.500 0.500 0.500
13 Si 0.570 0.741 0.500
14 Si 0.673 0.089 0.000
15 Si 0.827 0.589 0.000
16 Si 0.930 0.241 0.500